Entry from Alexandria via LeMat-Bulk: a geometry-optimized Li2N2F7 structure (GGA-PBE).

```
data_Li2N2F7
_chemical_formula_sum 'Li8 N8 F28'
_cell_length_a 8.6147
_cell_length_b 7.7909
_cell_length_c 11.1721
_cell_angle_alpha 90.00
_cell_angle_beta 104.52
_cell_angle_gamma 90.00
_symmetry_space_group_name_H-M 'C 1 2/c 1'
_symmetry_Int_Tables_number 15
_symmetry_space_group_name_Hall '-C 2yc'
loop_
_atom_site_label
_atom_site_type_symbol
_atom_site_fract_x
_atom_site_fract_y
_atom_site_fract_z
Li1 Li 0.0150 0.0767 0.1026
N1 N 0.2197 0.2993 0.6547
F1 F 0.0000 0.1560 0.2500
F2 F 0.0201 0.1523 0.5580
F3 F 0.1680 0.4557 0.6040
F4 F 0.1797 0.3025 0.7657
```

Values from the calculation:
The uncorrected formation energy comes out at -1.06 eV/atom. The crystal system is monoclinic.

***

Entry from Alexandria via LeMat-Bulk: a geometry-optimized Li6N2F structure (GGA-PBE).

```
data_Li6N2F
_chemical_formula_sum 'Li12 N4 F2'
_cell_length_a 11.4791
_cell_length_b 3.2085
_cell_length_c 5.6809
_cell_angle_alpha 90.00
_cell_angle_beta 118.83
_cell_angle_gamma 90.00
_symmetry_space_group_name_H-M 'C 1 2/m 1'
_symmetry_Int_Tables_number 12
_symmetry_space_group_name_Hall '-C 2y'
loop_
_atom_site_label
_atom_site_type_symbol
_atom_site_fract_x
_atom_site_fract_y
_atom_site_fract_z
Li1 Li 0.0129 0.0000 0.3312
Li2 Li 0.1663 0.5000 0.9266
Li3 Li 0.2220 0.0000 0.3379
N1 N 0.1742 0.0000 0.6889
F1 F 0.0000 0.0000 0.0000
```

Values from the calculation:
The uncorrected formation energy comes out at -0.73 eV/atom. The crystal system is monoclinic.

***

Entry from Alexandria via LeMat-Bulk: a geometry-optimized LiN2F structure (GGA-PBE).

```
data_LiN2F
_chemical_formula_sum 'Li4 N8 F4'
_cell_length_a 5.9120
_cell_length_b 5.9120
_cell_length_c 5.9120
_cell_angle_alpha 90.00
_cell_angle_beta 90.00
_cell_angle_gamma 90.00
_symmetry_space_group_name_H-M 'F m -3 m'
_symmetry_Int_Tables_number 225
_symmetry_space_group_name_Hall '-F 4 2 3'
loop_
_atom_site_label
_atom_site_type_symbol
_atom_site_fract_x
_atom_site_fract_y
_atom_site_fract_z
Li1 Li 0.0000 0.0000 0.0000
N1 N 0.2500 0.2500 0.2500
F1 F 0.0000 0.0000 0.5000
```

Values from the calculation:
The uncorrected formation energy comes out at 1.67 eV/atom. The crystal system is cubic. As for the polymorph energy (0 for the lowest one): 622 meV per atom.

***

Entry from Alexandria via LeMat-Bulk: a geometry-optimized Li2NF structure (GGA-PBE).

```
data_Li2NF
_chemical_formula_sum 'Li8 N4 F4'
_cell_length_a 5.3029
_cell_length_b 5.3029
_cell_length_c 5.3029
_cell_angle_alpha 90.00
_cell_angle_beta 90.00
_cell_angle_gamma 90.00
_symmetry_space_group_name_H-M 'F m -3 m'
_symmetry_Int_Tables_number 225
_symmetry_space_group_name_Hall '-F 4 2 3'
loop_
_atom_site_label
_atom_site_type_symbol
_atom_site_fract_x
_atom_site_fract_y
_atom_site_fract_z
Li1 Li 0.2500 0.2500 0.2500
N1 N 0.0000 0.0000 0.0000
F1 F 0.0000 0.0000 0.5000
```

Values from the calculation:
The uncorrected formation energy comes out at -0.60 eV/atom. The crystal system is cubic. As for the polymorph energy (0 for the lowest one): 248 meV per atom.

***

Entry from Alexandria via LeMat-Bulk: a geometry-optimized Li4NF structure (GGA-PBE).

```
data_Li4NF
_chemical_formula_sum 'Li8 N2 F2'
_cell_length_a 6.0289
_cell_length_b 6.5088
_cell_length_c 3.3061
_cell_angle_alpha 90.00
_cell_angle_beta 90.00
_cell_angle_gamma 90.00
_symmetry_space_group_name_H-M 'C m m m'
_symmetry_Int_Tables_number 65
_symmetry_space_group_name_Hall '-C 2 2'
loop_
_atom_site_label
_atom_site_type_symbol
_atom_site_fract_x
_atom_site_fract_y
_atom_site_fract_z
Li1 Li 0.0000 0.2023 0.0000
Li2 Li 0.1790 0.5000 0.5000
N1 N 0.0000 0.5000 0.0000
F1 F 0.0000 0.0000 0.5000
```

Values from the calculation:
The uncorrected formation energy comes out at -1.14 eV/atom. The crystal system is orthorhombic. As for the polymorph energy (0 for the lowest one): 0 meV per atom.

***

Entry from Alexandria via LeMat-Bulk: a geometry-optimized LiN2F11 structure (GGA-PBE).

```
data_LiN2F11
_chemical_formula_sum 'Li4 N8 F44'
_cell_length_a 8.7298
_cell_length_b 10.3602
_cell_length_c 7.8651
_cell_angle_alpha 90.00
_cell_angle_beta 90.00
_cell_angle_gamma 90.00
_symmetry_space_group_name_H-M 'I b a m'
_symmetry_Int_Tables_number 72
_symmetry_space_group_name_Hall '-I 2 2c'
loop_
_atom_site_label
_atom_site_type_symbol
_atom_site_fract_x
_atom_site_fract_y
_atom_site_fract_z
Li1 Li 0.0000 0.0000 0.2500
N1 N 0.0548 0.3256 0.0000
F1 F 0.0000 0.5000 0.0000
F2 F 0.0696 0.2437 0.5000
F3 F 0.1387 0.2902 0.1387
F4 F 0.1799 0.0094 0.1232
```

Values from the calculation:
The uncorrected formation energy comes out at -0.56 eV/atom. The crystal system is orthorhombic.

***

Entry from Alexandria via LeMat-Bulk: a geometry-optimized Li7N2F structure (GGA-PBE).

```
data_Li7N2F
_chemical_formula_sum 'Li21 N6 F3'
_cell_length_a 3.5465
_cell_length_b 3.5465
_cell_length_c 29.3120
_cell_angle_alpha 90.00
_cell_angle_beta 90.00
_cell_angle_gamma 120.00
_symmetry_space_group_name_H-M 'R -3 m'
_symmetry_Int_Tables_number 166
_symmetry_space_group_name_Hall '-R 3 2"'
loop_
_atom_site_label
_atom_site_type_symbol
_atom_site_fract_x
_atom_site_fract_y
_atom_site_fract_z
Li1 Li 0.0000 0.0000 0.0000
Li2 Li 0.0000 0.0000 0.1324
Li3 Li 0.0000 0.0000 0.2765
Li4 Li 0.0000 0.0000 0.4089
N1 N 0.0000 0.0000 0.0665
F1 F 0.0000 0.0000 0.5000
```

Values from the calculation:
The uncorrected formation energy comes out at -0.82 eV/atom. The crystal system is trigonal. As for the polymorph energy (0 for the lowest one): 0 meV per atom.

***

Entry from Alexandria via LeMat-Bulk: a geometry-optimized LiN2F structure (GGA-PBE).

```
data_LiN2F
_chemical_formula_sum 'Li3 N6 F3'
_cell_length_a 2.4931
_cell_length_b 2.4931
_cell_length_c 20.7970
_cell_angle_alpha 90.00
_cell_angle_beta 90.00
_cell_angle_gamma 120.00
_symmetry_space_group_name_H-M 'R -3 m'
_symmetry_Int_Tables_number 166
_symmetry_space_group_name_Hall '-R 3 2"'
loop_
_atom_site_label
_atom_site_type_symbol
_atom_site_fract_x
_atom_site_fract_y
_atom_site_fract_z
Li1 Li 0.0000 0.0000 0.0000
N1 N 0.0000 0.0000 0.0903
F1 F 0.0000 0.0000 0.5000
```

Values from the calculation:
The uncorrected formation energy comes out at 2.19 eV/atom. The crystal system is trigonal. As for the polymorph energy (0 for the lowest one): 1149 meV per atom.

***

Entry from Alexandria via LeMat-Bulk: a geometry-optimized Li7N2F2 structure (GGA-PBE).

```
data_Li7N2F2
_chemical_formula_sum 'Li14 N4 F4'
_cell_length_a 7.0623
_cell_length_b 6.5684
_cell_length_c 5.0247
_cell_angle_alpha 90.00
_cell_angle_beta 90.18
_cell_angle_gamma 90.00
_symmetry_space_group_name_H-M 'C 1 2/m 1'
_symmetry_Int_Tables_number 12
_symmetry_space_group_name_Hall '-C 2y'
loop_
_atom_site_label
_atom_site_type_symbol
_atom_site_fract_x
_atom_site_fract_y
_atom_site_fract_z
Li1 Li 0.0000 0.0000 0.0000
Li2 Li 0.0005 0.5000 0.2353
Li3 Li 0.2490 0.2500 0.7572
N1 N 0.2288 0.5000 0.0001
F1 F 0.0000 0.2818 0.5000
```

Values from the calculation:
The uncorrected formation energy comes out at -1.14 eV/atom. The crystal system is monoclinic.

***

Entry from Alexandria via LeMat-Bulk: a geometry-optimized LiN2F8 structure (GGA-PBE).

```
data_LiN2F8
_chemical_formula_sum 'Li4 N8 F32'
_cell_length_a 13.4834
_cell_length_b 6.5784
_cell_length_c 9.4412
_cell_angle_alpha 90.00
_cell_angle_beta 127.15
_cell_angle_gamma 90.00
_symmetry_space_group_name_H-M 'C 1 2/c 1'
_symmetry_Int_Tables_number 15
_symmetry_space_group_name_Hall '-C 2yc'
loop_
_atom_site_label
_atom_site_type_symbol
_atom_site_fract_x
_atom_site_fract_y
_atom_site_fract_z
Li1 Li 0.0000 0.1499 0.2500
N1 N 0.1983 0.4581 0.3276
F1 F 0.0580 0.0749 0.8860
F2 F 0.0975 0.3266 0.1881
F3 F 0.1572 0.3540 0.7502
F4 F 0.1708 0.4577 0.4501
```

Values from the calculation:
The uncorrected formation energy comes out at -0.75 eV/atom. The crystal system is monoclinic.